A geometry-optimized MoAs2Se structure. Source: Alexandria via LeMat-Bulk, functional PBE.

Cell lengths 4.6541, 4.6541, 3.2435 Å; angles 90.00, 90.00, 90.00 degrees
With the nearest neighbours (Å) after each atom.
Space group P4/mmm (No. 123)
One atom of each set of equivalent atoms:
1 Mo 0.0000 0.0000 0.0000  8 As 2.84
2 As 0.0000 0.5000 0.5000  4 Se 2.84, 4 Mo 2.84
3 Se 0.5000 0.5000 0.0000  8 As 2.84

Values from the calculation:
calculated total energy	-5.33	eV/atom

---

A geometry-optimized Mg14TiZn structure. Source: Alexandria via LeMat-Bulk, functional PBE.

Cell lengths 6.3071, 6.3071, 10.0690 Å; angles 90.00, 90.00, 120.00 degrees
With the nearest neighbours (Å) after each atom.
Space group P-6m2 (No. 187)
One atom of each set of equivalent atoms:
1 Mg 0.0000 0.0000 0.2432  12 Mg 3.07-3.16
2 Mg 0.0118 0.5059 0.2480  10 Mg 3.04-3.27, 1 Ti 3.05, 1 Zn 3.09
3 Mg 0.3317 0.1659 0.5000  10 Mg 3.14-3.17, 2 Zn 3.15
4 Mg 0.3391 0.1696 0.0000  10 Mg 3.07-3.21, 2 Ti 3.15
5 Ti 0.3333 0.6667 0.0000  12 Mg 3.05-3.15
6 Zn 0.3333 0.6667 0.5000  12 Mg 3.09-3.15

Values from the calculation:
formation energy	0.034	eV per atom
offset from the most stable computed form	0.06	kcal/mol of atoms

---

A geometry-optimized Fe2Se structure. Source: Alexandria via LeMat-Bulk, functional PBE.

Cell lengths 3.2254, 3.2254, 9.8734 Å; angles 90.00, 90.00, 120.00 degrees
With the nearest neighbours (Å) after each atom.
Space group P6_3/mmc (No. 194)
One atom of each set of equivalent atoms:
1 Fe 0.3333 0.6667 0.0821  3 Fe 2.47, 3 Se 2.49
2 Se 0.0000 0.0000 0.2500  6 Fe 2.49

Values from the calculation:
offset from the most stable computed form	7.60	kcal/mol of atoms

---

A geometry-optimized Pr3CCl3 structure. Source: Alexandria via LeMat-Bulk, functional PBE.

Cell lengths 8.6467, 13.8958, 7.4252 Å; angles 90.00, 118.82, 90.00 degrees
With the nearest neighbours (Å) after each atom.
Space group C2/m (No. 12)
One atom of each set of equivalent atoms:
1 Pr 0.1885 0.1364 0.2664  1 C 2.31
2 Pr 0.2043 0.0000 0.7411  2 C 2.38-2.43
3 C 0.1048 0.0000 0.3747  4 Pr 2.31-2.43
4 Cl 0.0000 0.2299 0.5000  4 Pr 3.04-3.17
5 Cl 0.0000 0.3048 0.0000  2 Pr 2.99
6 Cl 0.0889 0.5000 0.7823  3 Pr 2.85-3.10

Values from the calculation:
offset from the most stable computed form	6.99	kcal/mol of atoms

---

A geometry-optimized Ac4PbAuN structure. Source: Alexandria via LeMat-Bulk, functional PBE.

Cell lengths 7.3520, 7.5671, 9.3582 Å; angles 90.00, 107.76, 90.00 degrees
With the nearest neighbours (Å) after each atom.
Space group P2_1/m (No. 11)
One atom of each set of equivalent atoms:
1 Ac 0.0009 0.0075 0.2666  1 N 2.43
2 Ac 0.4163 0.2500 0.1374  1 N 2.43
3 Ac 0.4240 0.2500 0.5711  1 N 2.42
4 Pb 0.2409 0.7500 0.0643  6 Ac 3.54-3.58
5 Au 0.2216 0.7500 0.5508  6 Ac 3.15-3.30
6 N 0.2286 0.2500 0.3104  4 Ac 2.42-2.43

Values from the calculation:
calculated total energy	-5.26	eV/atom

---

A geometry-optimized NbSbSe2N structure. Source: Alexandria via LeMat-Bulk, functional PBE.

Cell lengths 5.2468, 5.2468, 3.8946 Å; angles 90.00, 90.00, 90.00 degrees
With the nearest neighbours (Å) after each atom.
Space group P4/mmm (No. 123)
One atom of each set of equivalent atoms:
1 Nb 0.0000 0.0000 0.0000  2 N 1.95
2 Sb 0.5000 0.5000 0.5000  8 Se 3.27
3 Se 0.0000 0.5000 0.0000  2 Nb 2.62
4 N 0.0000 0.0000 0.5000  2 Nb 1.95

Values from the calculation:
offset from the most stable computed form	0.00	kcal/mol of atoms

---

A geometry-optimized Sr2TaTe structure. Source: Alexandria via LeMat-Bulk, functional PBE.

Cell lengths 3.7174, 3.7174, 31.2675 Å; angles 90.00, 90.00, 120.00 degrees
With the nearest neighbours (Å) after each atom.
Space group R-3m (No. 166, hexagonal axes)
One atom of each set of equivalent atoms:
1 Sr 0.0000 0.0000 0.2469  3 Te 3.30, 3 Ta 3.45
2 Ta 0.0000 0.0000 0.0000  6 Sr 3.45, 6 Ta 3.72
3 Te 0.0000 0.0000 0.5000  6 Sr 3.30

Values from the calculation:
offset from the most stable computed form	6.02	kcal/mol of atoms

---

A geometry-optimized MgZr2Pb structure. Source: Alexandria via LeMat-Bulk, functional PBE.

Cell lengths 3.8390, 3.8390, 6.4171 Å; angles 90.00, 90.00, 90.00 degrees
With the nearest neighbours (Å) after each atom.
Space group P4mm (No. 99)
One atom of each set of equivalent atoms:
1 Mg 0.0000 0.0000 0.0000  6 Zr 3.11-3.31, 4 Pb 3.16
2 Zr 0.0000 0.0000 0.5161  4 Zr 3.07, 2 Mg 3.11-3.31, 4 Pb 3.20
3 Zr 0.5000 0.5000 0.7392  4 Zr 3.07, 2 Pb 3.13-3.29, 4 Mg 3.19
4 Pb 0.5000 0.5000 0.2514  6 Zr 3.13-3.29, 4 Mg 3.16

Values from the calculation:
formation energy	-0.017	eV per atom

---

A geometry-optimized BaCd2NiSb structure. Source: Alexandria via LeMat-Bulk, functional PBE.

Cell lengths 5.1014, 5.1014, 5.1502 Å; angles 90.00, 90.00, 90.00 degrees
With the nearest neighbours (Å) after each atom.
Space group P4/mmm (No. 123)
One atom of each set of equivalent atoms:
1 Ba 0.0000 0.0000 0.0000  4 Sb 3.61, 8 Cd 3.62
2 Cd 0.0000 0.5000 0.5000  2 Ni 2.55
3 Ni 0.5000 0.5000 0.5000  4 Cd 2.55, 2 Sb 2.58
4 Sb 0.5000 0.5000 0.0000  2 Ni 2.58

Values from the calculation:
calculated total energy	-3.04	eV/atom

---

A geometry-optimized SiN structure. Source: Alexandria via LeMat-Bulk, functional PBE.

Cell lengths 2.8325, 2.8325, 5.6928 Å; angles 90.00, 90.00, 120.00 degrees
With the nearest neighbours (Å) after each atom.
Space group P6_3mc (No. 186)
One atom of each set of equivalent atoms:
1 Si 0.3333 0.6667 0.0000  4 N 1.86-1.96
2 N 0.3333 0.6667 0.6565  4 Si 1.86-1.96

Values from the calculation:
offset from the most stable computed form	16.02	kcal/mol of atoms

---

A geometry-optimized YMgNiGe2 structure. Source: Alexandria via LeMat-Bulk, functional PBE.

Cell lengths 5.4942, 5.7696, 5.7631 Å; angles 90.00, 90.00, 90.00 degrees
With the nearest neighbours (Å) after each atom.
Space group Pmma (No. 51)
One atom of each set of equivalent atoms:
1 Y 0.2500 0.0000 0.2375  2 Mg 3.00, 8 Ge 3.05-3.30
2 Mg 0.2500 0.5000 0.3786  2 Ni 2.58, 2 Ge 2.70
3 Ni 0.0000 0.5000 0.0000  4 Ge 2.49, 2 Mg 2.58, 2 Ni 2.75
4 Ge 0.2500 0.2303 0.7614  2 Ni 2.49, 1 Ge 2.66, 1 Mg 2.70

Values from the calculation:
formation energy	-0.453	eV per atom

---

A geometry-optimized HgRuSCl2 structure. Source: Alexandria via LeMat-Bulk, functional PBE.

Cell lengths 5.1725, 5.1725, 5.0452 Å; angles 90.00, 90.00, 90.00 degrees
With the nearest neighbours (Å) after each atom.
Space group P4/mmm (No. 123)
One atom of each set of equivalent atoms:
1 Hg 0.0000 0.0000 0.0000  2 S 2.52, 4 Cl 2.59
2 Ru 0.5000 0.5000 0.5000  8 Cl 3.61, 4 S 3.66
3 S 0.0000 0.0000 0.5000  2 Hg 2.52
4 Cl 0.0000 0.5000 0.0000  2 Hg 2.59

Values from the calculation:
offset from the most stable computed form	22.13	kcal/mol of atoms